Entry 1:
Here is a relaxed structure of VSi2GeB from Alexandria. Energies are from PBE.

Values from the calculation:
For the electronic total energy, the calculation gives -5.38 eV per atom. Its volume is 17.402 Å³/atom. The space group is No. 123. The value obtained for the density of states at the Fermi level is 2.9 states/eV per cell.

Lattice parameters (Å, degrees): 4.593 4.125 4.593 90.00 90.00 90.00
Fractional positions:
Ge  0.500  0.500  0.500
B  0.000  0.500  0.000
Si  0.000  0.000  0.500
Si  0.500  0.000  0.000
V  0.000  0.000  0.000

---

Entry 2:
Here is a relaxed structure of SmTc2Ge2B from Alexandria. Energies are from PBE.

Values from the calculation:
Its volume is 16.463 Å³/atom. The space group is No. 123. The value obtained for the density of states at the Fermi level is 3.3 states/eV per cell. The energy of formation comes out at -512 meV per atom.

Lattice parameters (Å, degrees): 4.257 4.257 5.451 90.00 90.00 90.00
Fractional positions:
Sm  0.000  0.000  0.500
Tc  0.500  0.000  0.000
Tc  0.000  0.500  0.000
Ge  0.500  0.500  0.730
Ge  0.500  0.500  0.270
B  0.000  0.000  0.000

---

Entry 3:
Here is a relaxed structure of Sn3GeB from Alexandria. Energies are from PBE.

Values from the calculation:
Its volume is 30.012 Å³/atom. The space group is No. 221. The value obtained for the density of states at the Fermi level is 2.7 states/eV per cell. The energy of formation comes out at 1390 meV per atom.

Lattice parameters (Å, degrees): 5.314 5.314 5.314 90.00 90.00 90.00
Fractional positions:
Ge  0.000  0.000  0.000
B  0.500  0.500  0.500
Sn  0.000  0.500  0.000
Sn  0.000  0.000  0.500
Sn  0.500  0.000  0.000

---

Entry 4:
Here is a relaxed structure of SnGeB3 from Alexandria. Energies are from PBE.

Values from the calculation:
Its volume is 15.103 Å³/atom. The space group is No. 221. The value obtained for the density of states at the Fermi level is 2.7 states/eV per cell. The energy of formation comes out at 1717 meV per atom.

Lattice parameters (Å, degrees): 4.227 4.227 4.227 90.00 90.00 90.00
Fractional positions:
Ge  0.000  0.000  0.000
B  0.000  0.500  0.000
B  0.000  0.000  0.500
B  0.500  0.000  0.000
Sn  0.500  0.500  0.500

---

Please write out number 2 again, unchanged.
Here is a relaxed structure of SmTc2Ge2B from Alexandria. Energies are from PBE.

Values from the calculation:
Its volume is 16.463 Å³/atom. The space group is No. 123. The value obtained for the density of states at the Fermi level is 3.3 states/eV per cell. The energy of formation comes out at -512 meV per atom.

Lattice parameters (Å, degrees): 4.257 4.257 5.451 90.00 90.00 90.00
Fractional positions:
Sm  0.000  0.000  0.500
Tc  0.500  0.000  0.000
Tc  0.000  0.500  0.000
Ge  0.500  0.500  0.730
Ge  0.500  0.500  0.270
B  0.000  0.000  0.000